## Zn2CoP (PBE-GGA)

Data for a relaxed Zn2CoP crystal.

Cell: 4.4871 4.4871 2.8917 Å, 90.00 90.00 115.28°
Closest atoms and distances in Å follow each position.
Atoms (fractional coordinates):
Zn1 0.0000 0.5000 0.0000  2 Zn 2.40, 4 Co 2.67, 4 P 2.67
Zn2 0.5000 0.0000 0.0000  2 Zn 2.40, 4 Co 2.67, 4 P 2.67
Co1 0.0000 0.0000 0.5000  2 P 2.40, 8 Zn 2.67
P1 0.5000 0.5000 0.5000  2 Co 2.40, 8 Zn 2.67

## Properties
Mass density, g/cm3: 7.0
VASP energy, eV per atom: -3.651
Energy relative to the elements, meV/atom: 114.8